A geometry-optimized YMg6CoO8 structure, computed with PBE with a Hubbard U.

Calculated values
M_tot, μB/cell: 2.0
Electronic total energy, eV per atom: -6.294
Energy above the lowest structure with this stoichiometry, meV/atom: 0

Cell and atoms, written as CIF:
```
data_YMg6CoO8
_chemical_formula_sum 'Y1 Mg6 Co1 O8'
_symmetry_space_group_name_H-M 'P 1'
_symmetry_Int_Tables_number 1
_symmetry_space_group_name_Hall 'P 1'
_cell_length_a 4.3781
_cell_length_b 4.3781
_cell_length_c 8.7958
_cell_angle_alpha 90.00
_cell_angle_beta 90.00
_cell_angle_gamma 90.00
loop_
_atom_site_label
_atom_site_fract_x
_atom_site_fract_y
_atom_site_fract_z
O1 0.5000 0.0000 0.5000
O2 0.5000 0.5000 0.7340
O3 0.5000 0.0000 0.0000
O4 0.0000 0.0000 0.7389
O5 0.5000 0.5000 0.2660
O6 0.0000 0.5000 0.5000
O7 0.0000 0.5000 0.0000
O8 0.0000 0.0000 0.2611
Y1 0.0000 0.0000 0.0000
Mg1 0.0000 0.5000 0.2600
Mg2 0.5000 0.0000 0.2600
Mg3 0.0000 0.5000 0.7400
Mg4 0.5000 0.5000 0.5000
Mg5 0.5000 0.0000 0.7400
Mg6 0.0000 0.0000 0.5000
Co1 0.5000 0.5000 0.0000
```